LaTbCu: optimized geometry, PBE.

Structure (POSCAR):
```
LaTbCu
1.0
3.710 0.000 0.000
-1.855 3.213 0.000
0.000 0.000 7.103
Tb Cu La
1 1 1
Cartesian
0.000 2.142 4.361 Tb
1.855 1.071 2.440 Cu
0.000 0.000 0.302 La
```

DFT total energy (eV per atom): -4.510
Relative energy among the computed polymorphs (meV per atom): 137
Total magnetic moment (μB per cell): 0.00